(1)
DFT (PBE) results for a relaxed HfZrPa2 crystal.

a b c (Å): 3.2046 5.8236 10.5997
angles (deg): 77.16 90.00 90.00
With the nearest neighbours (Å) after each atom.
Fractional positions:
1 Hf 0.2500 0.3575 0.6217  5 Zr 3.12-3.35, 4 Hf 3.17-3.20, 3 Pa 3.22-3.24
2 Hf 0.7500 0.6425 0.3783  5 Zr 3.12-3.35, 4 Hf 3.17-3.20, 3 Pa 3.22-3.24
3 Zr 0.7500 0.8520 0.6246  5 Hf 3.12-3.35, 3 Pa 3.19-3.23, 4 Zr 3.20-3.24
4 Zr 0.2500 0.1480 0.3754  5 Hf 3.12-3.35, 3 Pa 3.19-3.23, 4 Zr 3.20-3.24
5 Pa 0.7500 0.4314 0.8749  9 Pa 3.01-3.34, 1 Zr 3.19, 2 Hf 3.24
6 Pa 0.2500 0.5686 0.1251  9 Pa 3.01-3.34, 1 Zr 3.19, 2 Hf 3.24
7 Pa 0.2500 0.9342 0.8751  9 Pa 3.01-3.34, 1 Hf 3.22, 2 Zr 3.23
8 Pa 0.7500 0.0658 0.1249  9 Pa 3.01-3.34, 1 Hf 3.22, 2 Zr 3.23

## Properties
- Polymorph energy (0 for the lowest one): 0 meV per atom
- DOS at the Fermi energy: 5.3 states/eV/f.u.
- E: -9.3217 eV per atom
- Formation energy from the elements: 0.05 eV per atom

***

(2)
DFT (PBE) results for a relaxed HfZr6Pa crystal.

a b c (Å): 6.2714 6.2714 6.2714
angles (deg): 109.84 109.84 109.84
With the nearest neighbours (Å) after each atom.
Fractional positions:
1 Hf 0.5000 0.5000 0.5000  6 Zr 3.03, 2 Pa 3.08
2 Zr 0.2504 0.7547 0.2504  1 Pa 2.98, 1 Hf 3.03, 6 Zr 3.06-3.15
3 Zr 0.2504 0.2504 0.7547  1 Pa 2.98, 1 Hf 3.03, 6 Zr 3.06-3.15
4 Zr 0.7496 0.2453 0.7496  1 Pa 2.98, 1 Hf 3.03, 6 Zr 3.06-3.15
5 Zr 0.2453 0.7496 0.7496  1 Pa 2.98, 1 Hf 3.03, 6 Zr 3.06-3.15
6 Zr 0.7496 0.7496 0.2453  1 Pa 2.98, 1 Hf 3.03, 6 Zr 3.06-3.15
7 Zr 0.7547 0.2504 0.2504  1 Pa 2.98, 1 Hf 3.03, 6 Zr 3.06-3.15
8 Pa 0.0000 0.0000 0.0000  6 Zr 2.98, 2 Hf 3.08

## Properties
- Polymorph energy (0 for the lowest one): 145 meV per atom
- DOS at the Fermi energy: 14.3 states/eV/f.u.
- E: -8.6244 eV per atom
- Formation energy from the elements: 0.22 eV per atom

***

Which of these has the highest E? HfZr6Pa

***

Repeat the second record exactly.
DFT (PBE) results for a relaxed HfZr6Pa crystal.

a b c (Å): 6.2714 6.2714 6.2714
angles (deg): 109.84 109.84 109.84
With the nearest neighbours (Å) after each atom.
Fractional positions:
1 Hf 0.5000 0.5000 0.5000  6 Zr 3.03, 2 Pa 3.08
2 Zr 0.2504 0.7547 0.2504  1 Pa 2.98, 1 Hf 3.03, 6 Zr 3.06-3.15
3 Zr 0.2504 0.2504 0.7547  1 Pa 2.98, 1 Hf 3.03, 6 Zr 3.06-3.15
4 Zr 0.7496 0.2453 0.7496  1 Pa 2.98, 1 Hf 3.03, 6 Zr 3.06-3.15
5 Zr 0.2453 0.7496 0.7496  1 Pa 2.98, 1 Hf 3.03, 6 Zr 3.06-3.15
6 Zr 0.7496 0.7496 0.2453  1 Pa 2.98, 1 Hf 3.03, 6 Zr 3.06-3.15
7 Zr 0.7547 0.2504 0.2504  1 Pa 2.98, 1 Hf 3.03, 6 Zr 3.06-3.15
8 Pa 0.0000 0.0000 0.0000  6 Zr 2.98, 2 Hf 3.08

## Properties
- Polymorph energy (0 for the lowest one): 145 meV per atom
- DOS at the Fermi energy: 14.3 states/eV/f.u.
- E: -8.6244 eV per atom
- Formation energy from the elements: 0.22 eV per atom

***

Which formula does entry 2 have? HfZr6Pa

***

The highest E belongs to which entry? HfZr6Pa